(1)
A geometry-optimized Cs5AuI8 structure, computed with PBE.

Cell and atoms, written as POSCAR:
```
Cs5AuI8
1.0
-5.629 5.629 6.308
5.629 -5.629 6.308
5.629 5.629 -6.308
Cs Au I
5 1 8
Cartesian
0.000 0.000 0.000
2.417 4.100 -1.311
7.158 2.417 1.311
3.212 1.529 4.997
-1.529 3.212 7.619
0.000 5.629 3.154
6.072 2.632 -2.904
3.439 1.288 1.166
4.341 -2.189 5.142
-0.444 2.997 3.404
1.288 7.818 -1.166
2.632 5.185 2.904
2.997 0.444 9.212
2.189 4.341 7.475
```

Raw formation energy (kJ/mol of formula units): -1451
Total DFT energy (no corrections) (eV/f.u.): -34.98
Symmetry: No. 82

=====

(2)
A geometry-optimized Nd2InSn3Pd4 structure, computed with PBE.

Cell and atoms, written as POSCAR:
```
Nd2InSn3Pd4
1.0
4.557 0.000 0.000
0.000 4.557 0.000
0.000 0.000 10.889
Nd In Sn Pd
2 1 3 4
Cartesian
0.000 2.278 2.638
2.278 0.000 8.251
0.000 0.000 5.445
0.000 2.278 9.502
2.278 0.000 1.387
2.278 2.278 5.445
0.000 0.000 0.000
0.000 2.278 6.911
2.278 0.000 3.978
2.278 2.278 0.000
```

Total DFT energy (no corrections) (eV/f.u.): -52.58
Calculated formation energy (eV/f.u.): -7.53
Symmetry: No. 115

=====

(3)
A geometry-optimized KRbBe2 structure, computed with PBE.

Cell and atoms, written as POSCAR:
```
KRbBe2
1.0
6.191 -3.032 0.000
6.191 3.032 0.000
-5.686 0.000 7.772
K Rb Be
2 2 4
Cartesian
0.000 0.000 0.000
-1.909 0.000 5.996
2.231 0.000 4.363
6.049 0.000 2.504
3.006 1.090 1.208
3.006 -1.090 1.208
8.942 0.000 0.286
9.618 0.000 2.114
```

ΔE to the lowest computed polymorph (eV/atom): 0.141
Total DFT energy (no corrections) (eV/f.u.): -7.08
Calculated formation energy (eV/f.u.): 2.44
Symmetry: No. 8

=====

(4)
A geometry-optimized Tb2PrMg6 structure, computed with PBE.

Cell and atoms, written as POSCAR:
```
Tb2PrMg6
1.0
9.142 0.000 0.000
-4.571 7.917 0.000
0.000 0.000 3.326
Tb Pr Mg
2 1 6
Cartesian
0.000 5.278 0.000
4.571 2.639 0.000
0.000 0.000 0.000
-1.537 2.663 1.663
-3.033 5.254 1.663
3.075 0.000 1.663
1.537 2.663 1.663
6.067 0.000 1.663
3.033 5.254 1.663
```

Total DFT energy (no corrections) (eV/f.u.): -24.37
Calculated formation energy (eV/f.u.): -0.76
Symmetry: No. 191

=====

(5)
A geometry-optimized Ba2TeIrN structure, computed with PBE.

Cell and atoms, written as POSCAR:
```
Ba2TeIrN
1.0
6.006 0.000 0.000
0.000 6.006 0.000
0.000 0.000 3.837
Ba Te Ir N
2 1 1 1
Cartesian
0.000 3.003 0.000
3.003 0.000 0.000
0.000 0.000 1.919
3.003 3.003 1.919
3.003 3.003 0.000
```

Raw formation energy (kJ/mol of formula units): -438
ΔE to the lowest computed polymorph (eV/atom): 0.000
Total DFT energy (no corrections) (eV/f.u.): -28.71
Symmetry: No. 123

=====

(6)
A geometry-optimized SmSi3RuRh structure, computed with PBE.

Cell and atoms, written as POSCAR:
```
SmSi3RuRh
1.0
3.128 -6.341 0.000
3.128 6.341 0.000
0.000 0.000 5.787
Sm Si Ru Rh
2 6 2 2
Cartesian
3.128 3.657 4.340
3.128 -3.657 1.447
3.128 3.646 1.447
1.861 0.000 0.000
1.861 0.000 2.893
4.396 0.000 0.000
4.396 0.000 2.893
3.128 -3.646 4.340
3.128 5.872 1.447
3.128 -5.872 4.340
3.128 1.425 1.447
3.128 -1.425 4.340
```

Raw formation energy (kJ/mol of formula units): -305
Total DFT energy (no corrections) (eV/f.u.): -40.77
Symmetry: No. 63